Entry 1:
Crystalline BaHgO2 at its relaxed geometry. Source: Alexandria via LeMat-Bulk, functional PBE.

The structure in POSCAR format:
```
BaHgO2
1.0
2.101 1.213 6.551
-2.101 1.213 6.551
0.000 -2.426 6.551
Ba Hg O
1 1 2
Direct
0.000 0.000 0.000
0.500 0.500 0.500
0.398 0.398 0.398
0.602 0.602 0.602
```

Calculated values
- volume (Å³ per cell) = 100.2
- total magnetization (μB per formula unit) = 0.00
- ΔE_f (raw) (eV per atom) = -1.609
- DFT total energy (eV/atom) = -4.645
- crystal system = trigonal

---

Entry 2:
Crystalline TmTaAlO6 at its relaxed geometry. Source: Alexandria via LeMat-Bulk, functional PBE.

The structure in POSCAR format:
```
TmTaAlO6
1.0
5.132 0.000 0.000
-2.566 4.444 0.000
0.000 0.000 4.773
Tm Ta Al O
1 1 1 6
Direct
0.000 0.000 0.000
0.333 0.667 0.500
0.667 0.333 0.500
0.362 0.011 0.721
0.362 0.351 0.279
0.649 0.011 0.279
0.649 0.638 0.721
0.989 0.351 0.721
0.989 0.638 0.279
```

Calculated values
- volume (Å³ per cell) = 108.9
- total magnetization (μB per formula unit) = 1.04
- ΔE_f (raw) (eV per atom) = -2.855
- DFT total energy (eV/atom) = -8.390
- crystal system = trigonal

---

Entry 3:
Crystalline Cr2MoPH at its relaxed geometry. Source: Alexandria via LeMat-Bulk, functional PBE.

The structure in POSCAR format:
```
Cr2MoPH
1.0
4.845 0.000 0.000
0.000 4.845 0.000
0.000 0.000 4.560
Cr Mo P H
2 1 1 1
Direct
0.000 0.500 0.000
0.500 0.000 0.000
0.000 0.000 0.000
0.000 0.000 0.500
0.500 0.500 0.500
```

Calculated values
- volume (Å³ per cell) = 107.1
- total magnetization (μB per formula unit) = 5.93
- DFT total energy (eV/atom) = -6.309
- crystal system = tetragonal

---

Entry 4:
Crystalline BeV2AgN at its relaxed geometry. Source: Alexandria via LeMat-Bulk, functional PBE.

The structure in POSCAR format:
```
BeV2AgN
1.0
3.963 0.000 0.000
0.000 3.963 0.000
0.000 0.000 3.735
Be V Ag N
1 2 1 1
Direct
0.000 0.000 0.000
0.000 0.500 0.500
0.500 0.000 0.500
0.500 0.500 0.000
0.000 0.000 0.500
```

Calculated values
- volume (Å³ per cell) = 58.7
- total magnetization (μB per formula unit) = 0.00
- ΔE_f (raw) (eV per atom) = -0.173
- DFT total energy (eV/atom) = -6.801
- crystal system = tetragonal

---

Entry 5:
Crystalline Nd2Dy3Er6Tm at its relaxed geometry. Source: Alexandria via LeMat-Bulk, functional PBE.

The structure in POSCAR format:
```
Nd2Dy3Er6Tm
1.0
3.068 -5.310 0.000
3.068 5.310 0.000
-2.038 0.000 11.545
Nd Dy Er Tm
2 3 6 1
Direct
0.167 0.833 0.000
0.833 0.167 0.000
0.000 0.000 0.500
0.334 0.666 0.500
0.666 0.334 0.500
0.083 0.416 0.748
0.252 0.252 0.252
0.416 0.083 0.748
0.584 0.917 0.252
0.748 0.748 0.748
0.917 0.584 0.252
0.500 0.500 0.000
```

Calculated values
- volume (Å³ per cell) = 376.2
- total magnetization (μB per formula unit) = 0.00
- energy relative to the elements (kJ/mol of atoms) = 2
- DFT total energy (eV/atom) = -4.580
- crystal system = monoclinic

---

Entry 6:
Crystalline Ba2CaZn at its relaxed geometry. Source: Alexandria via LeMat-Bulk, functional PBE.

The structure in POSCAR format:
```
Ba2CaZn
1.0
-2.167 3.097 6.344
2.167 -3.097 6.344
2.167 3.097 -6.344
Ba Ca Zn
2 1 1
Direct
0.202 0.202 0.000
0.798 0.798 0.000
0.500 0.000 0.500
0.000 0.500 0.500
```

Calculated values
- volume (Å³ per cell) = 170.3
- total magnetization (μB per formula unit) = 0.00
- energy relative to the elements (kJ/mol of atoms) = 4
- DFT total energy (eV/atom) = -1.739
- crystal system = orthorhombic